No. 1
{"formula": "Ca2Al2Ge2P", "functional": "PBE", "state": "relaxed", "space_group": "P-1, No. 2", "crystal_system": "triclinic", "cell": [[3.756, 0.003, 0.002], [1.883, 5.843, 0.404], [0.005, 1.910, 7.129]], "species": ["Ca", "Ca", "Ge", "Ge", "Al", "Al", "P"], "frac_coords": [[0.508, 0.981, 0.280], [0.492, 0.019, 0.720], [0.202, 0.596, 0.588], [0.798, 0.404, 0.412], [0.214, 0.574, 0.126], [0.786, 0.426, 0.874], [0.000, 0.000, 0.000]]}


No. 2
{"formula": "CaAlGeP2", "functional": "PBE", "state": "relaxed", "space_group": "P4/mmm, No. 123", "crystal_system": "tetragonal", "cell": [[4.811, 0.000, 0.000], [0.000, 4.765, 0.000], [0.000, 0.000, 4.811]], "species": ["P", "P", "Al", "Ca", "Ge"], "frac_coords": [[0.000, 0.000, 0.500], [0.500, 0.000, 0.000], [0.000, 0.000, 0.000], [0.500, 0.500, 0.500], [0.000, 0.500, 0.000]]}


No. 3
{"formula": "Ca2AlGeP", "functional": "PBE", "state": "relaxed", "space_group": "P2_1/m, No. 11", "crystal_system": "monoclinic", "cell": [[-2.501, 3.417, 0.210], [-5.392, -3.924, -0.349], [0.454, -0.191, 8.515]], "species": ["Ca", "Ca", "Ca", "Ca", "Ge", "Ge", "Al", "Al", "P", "P"], "frac_coords": [[0.250, 0.237, 0.915], [0.750, 0.763, 0.085], [0.750, 0.855, 0.647], [0.250, 0.145, 0.353], [0.250, 0.699, 0.373], [0.750, 0.301, 0.627], [0.750, 0.477, 0.363], [0.250, 0.523, 0.637], [0.750, 0.227, 0.140], [0.250, 0.773, 0.860]]}


No. 4
{"formula": "CaAlGePd", "functional": "PBE", "state": "relaxed", "space_group": "R3m, No. 160", "crystal_system": "trigonal", "cell": [[4.266, 0.000, 0.000], [2.133, 3.694, 0.000], [2.133, 1.231, 5.346]], "species": ["Al", "Pd", "Ca", "Ge"], "frac_coords": [[0.601, 0.601, 0.198], [0.297, 0.297, 0.108], [0.806, 0.806, 0.583], [0.022, 0.022, 0.934]]}


No. 5
{"formula": "CaAlGe2Pd", "functional": "PBE", "state": "relaxed", "space_group": "I-4m2, No. 119", "crystal_system": "tetragonal", "cell": [[-3.033, -1.218, -2.607], [1.399, -3.935, 0.211], [-2.486, 1.631, 5.482]], "species": ["Al", "Pd", "Ge", "Ge", "Ca"], "frac_coords": [[0.750, 0.250, 0.500], [0.250, 0.750, 0.500], [0.386, 0.386, 0.773], [0.614, 0.614, 0.227], [0.000, 0.000, 0.000]]}


No. 6
{"formula": "CaAlGe2Pd4", "functional": "PBE", "state": "relaxed", "space_group": "R-3m, No. 166", "crystal_system": "trigonal", "cell": [[-0.249, -2.649, -3.450], [2.961, 0.285, -3.183], [5.778, -6.487, 1.813]], "species": ["Ca", "Ge", "Ge", "Pd", "Pd", "Pd", "Pd", "Al"], "frac_coords": [[0.000, 0.000, 0.000], [0.249, 0.249, 0.253], [0.751, 0.751, 0.747], [0.863, 0.863, 0.410], [0.137, 0.137, 0.590], [0.404, 0.404, 0.787], [0.596, 0.596, 0.213], [0.500, 0.500, 0.500]]}


Number 1: total energy -4.159 eV per atom. Number 2: total energy -4.177 eV per atom. Number 3: total energy -4.315 eV per atom. Number 4: total energy -4.472 eV per atom. Number 5: total energy -4.609 eV per atom. Number 6: total energy -5.104 eV per atom.